No. 1
Here is an optimized crystal structure of Tb2PaGeO8 from Alexandria. Energies are from PBE.

```
12
Lattice="3.491 -3.599 0.000 3.491 3.599 0.000 0.000 0.000 6.753" Properties=species:S:1:pos:R:3 pbc="T T T"
Tb 0.000 0.000 1.601
Tb 0.000 0.000 5.151
Pa 3.491 0.000 3.376
Ge 3.491 0.000 0.000
O 1.391 0.000 3.376
O 1.623 0.000 0.000
O 3.491 1.294 1.522
O 3.491 1.294 5.230
O 3.491 -1.294 1.522
O 3.491 -1.294 5.230
O 5.360 0.000 0.000
O 5.592 0.000 3.376
```

Results
**Energy relative to the elements, uncorrected**: -2798 meV per atom
**Total magnetic moment**: 0.083 μB per atom
**Uncorrected energy**: -8.052 eV per atom

=====

No. 2
Here is an optimized crystal structure of TbPaGeO6 from Alexandria. Energies are from PBE.

```
18
Lattice="5.391 0.000 0.000 -2.696 4.669 0.000 0.000 0.000 9.458" Properties=species:S:1:pos:R:3 pbc="T T T"
Tb 0.000 3.113 2.365
Tb 2.696 1.556 7.094
Pa 0.000 0.000 0.000
Pa 0.000 0.000 4.729
Ge 0.000 3.113 7.094
Ge 2.696 1.556 2.365
O -0.707 1.679 5.981
O -1.595 3.217 8.206
O 0.707 1.679 8.206
O -0.888 4.442 5.981
O 1.808 0.227 1.252
O 1.101 1.452 3.477
O 1.595 3.217 5.981
O 0.888 4.442 8.206
O 3.583 0.227 3.477
O 1.988 2.990 1.252
O 4.291 1.452 1.252
O 3.403 2.990 3.477
```

Results
**Energy relative to the elements, uncorrected**: -2849 meV per atom
**Total magnetic moment**: 0.000 μB per atom
**Uncorrected energy**: -8.237 eV per atom

=====

No. 3
Here is an optimized crystal structure of TbPaGe2O8 from Alexandria. Energies are from PBE.

```
12
Lattice="-3.547 3.547 3.236 3.547 -3.547 3.236 3.547 3.547 -3.236" Properties=species:S:1:pos:R:3 pbc="T T T"
Tb 0.000 0.000 0.000
Pa 0.000 3.547 1.618
Ge 3.547 0.000 1.618
Ge 0.000 0.000 3.236
O 2.266 0.000 0.397
O 4.829 0.000 0.397
O 3.547 2.210 -1.164
O 3.547 -1.282 2.839
O 0.000 1.337 2.072
O 3.547 1.282 2.839
O 2.210 3.547 1.164
O 1.337 0.000 4.400
```

Results
**Energy relative to the elements, uncorrected**: -2670 meV per atom
**Total magnetic moment**: 0.000 μB per atom
**Uncorrected energy**: -7.922 eV per atom

=====

No. 4
Here is an optimized crystal structure of PaTcGeO from Alexandria. Energies are from PBE.

```
8
Lattice="3.939 0.000 0.000 0.000 3.939 0.000 0.000 0.000 8.410" Properties=species:S:1:pos:R:3 pbc="T T T"
Pa 0.985 0.985 1.314
Pa 2.954 2.954 7.096
Tc 0.985 2.954 4.205
Tc 2.954 0.985 4.205
Ge 0.985 0.985 5.796
Ge 2.954 2.954 2.614
O 0.985 2.954 0.000
O 2.954 0.985 0.000
```

Results
**Energy relative to the elements, uncorrected**: -1492 meV per atom
**Total magnetic moment**: 0.000 μB per atom
**Uncorrected energy**: -8.851 eV per atom

=====

No. 5
Here is an optimized crystal structure of PaTcGeO6 from Alexandria. Energies are from PBE.

```
18
Lattice="5.241 0.000 0.000 -2.620 4.539 0.000 0.000 0.000 8.946" Properties=species:S:1:pos:R:3 pbc="T T T"
Pa 0.000 3.026 2.236
Pa 2.620 1.513 6.709
Tc 0.000 3.026 6.709
Tc 2.620 1.513 2.236
Ge 0.000 0.000 0.000
Ge 0.000 0.000 4.473
O -0.744 1.469 5.550
O -1.721 3.160 7.868
O 0.744 1.469 7.868
O -0.976 4.449 5.550
O 1.644 0.090 1.077
O 0.900 1.379 3.396
O 1.721 3.160 5.550
O 0.976 4.449 7.868
O 3.597 0.090 3.396
O 1.876 3.070 1.077
O 4.341 1.379 1.077
O 3.365 3.070 3.396
```

Results
**Energy relative to the elements, uncorrected**: -2058 meV per atom
**Total magnetic moment**: 0.223 μB per atom
**Uncorrected energy**: -8.083 eV per atom

=====

No. 6
Here is an optimized crystal structure of ThPaGe2O8 from Alexandria. Energies are from PBE.

```
12
Lattice="-3.621 3.621 3.304 3.621 -3.621 3.304 3.621 3.621 -3.304" Properties=species:S:1:pos:R:3 pbc="T T T"
Th 0.000 0.000 0.000
Pa 0.000 3.621 1.652
Ge 3.621 0.000 1.652
Ge 0.000 0.000 3.304
O 2.308 0.000 0.455
O 4.935 0.000 0.455
O 3.621 2.285 -1.180
O 3.621 -1.314 2.849
O 0.000 1.337 2.123
O 3.621 1.314 2.849
O 2.285 3.621 1.180
O 1.337 0.000 4.484
```

Results
**Energy relative to the elements, uncorrected**: -2666 meV per atom
**Total magnetic moment**: 0.082 μB per atom
**Uncorrected energy**: -8.150 eV per atom

=====

No. 7
Here is an optimized crystal structure of PaTiGeO6 from Alexandria. Energies are from PBE.

```
18
Lattice="5.407 0.000 0.000 -2.704 4.683 0.000 0.000 0.000 8.743" Properties=species:S:1:pos:R:3 pbc="T T T"
Pa 0.000 3.122 2.186
Pa 2.704 1.561 6.557
Ti 0.000 3.122 6.557
Ti 2.704 1.561 2.186
Ge 0.000 0.000 0.000
Ge 0.000 0.000 4.372
O -0.792 1.622 5.494
O -1.695 3.186 7.621
O 0.792 1.622 7.621
O -0.903 4.558 5.494
O 1.801 0.125 1.122
O 1.009 1.497 3.249
O 1.695 3.186 5.494
O 0.903 4.558 7.621
O 3.607 0.125 3.249
O 1.912 3.061 1.122
O 4.399 1.497 1.122
O 3.496 3.061 3.249
```

Results
**Energy relative to the elements, uncorrected**: -2530 meV per atom
**Total magnetic moment**: 0.000 μB per atom
**Uncorrected energy**: -8.281 eV per atom

=====

No. 8
Here is an optimized crystal structure of PaTl2Ge3O12 from Alexandria. Energies are from PBE.

```
18
Lattice="3.540 2.044 6.239 -3.540 2.044 6.239 0.000 -4.088 6.239" Properties=species:S:1:pos:R:3 pbc="T T T"
Pa 0.000 0.000 0.000
Tl 0.000 0.000 7.338
Tl 0.000 0.000 11.380
Ge -3.540 0.000 9.359
Ge -1.770 1.022 3.120
Ge 1.770 1.022 3.120
O 0.000 -2.364 4.982
O -2.047 1.182 4.982
O -2.131 -1.230 9.025
O 0.000 -2.460 9.693
O -2.131 1.230 9.693
O -2.047 -1.182 13.736
O 2.047 1.182 4.982
O 2.131 -1.230 9.025
O 0.000 2.460 9.025
O 2.131 1.230 9.693
O 2.047 -1.182 13.736
O 0.000 2.364 13.736
```

Results
**Energy relative to the elements, uncorrected**: -1323 meV per atom
**Total magnetic moment**: 0.226 μB per atom
**Uncorrected energy**: -6.188 eV per atom

=====

No. 9
Here is an optimized crystal structure of PaTl3Ge2O9 from Alexandria. Energies are from PBE.

```
15
Lattice="5.682 0.000 0.000 -2.841 4.921 0.000 0.000 0.000 7.126" Properties=species:S:1:pos:R:3 pbc="T T T"
Pa 0.000 0.000 0.000
Tl 0.000 0.000 3.563
Tl 0.000 3.281 1.443
Tl 2.841 1.640 5.683
Ge 0.000 3.281 4.703
Ge 2.841 1.640 2.423
O -1.421 2.460 3.563
O 0.000 1.722 5.800
O -1.350 4.060 5.800
O 1.491 0.861 1.326
O 2.841 0.000 3.563
O 1.421 2.460 3.563
O 1.350 4.060 5.800
O 4.191 0.861 1.326
O 2.841 3.199 1.326
```

Results
**Energy relative to the elements, uncorrected**: -1552 meV per atom
**Total magnetic moment**: 0.000 μB per atom
**Uncorrected energy**: -6.249 eV per atom

=====

No. 10
Here is an optimized crystal structure of PaTlGe2O7 from Alexandria. Energies are from PBE.

```
11
Lattice="3.610 0.000 0.000 0.000 3.610 0.000 0.000 0.000 11.268" Properties=species:S:1:pos:R:3 pbc="T T T"
Pa 0.000 0.000 0.000
Tl 0.000 0.000 5.634
Ge 1.805 1.805 2.419
Ge 1.805 1.805 8.849
O 0.000 1.805 1.689
O 0.000 1.805 9.579
O 1.805 0.000 1.689
O 1.805 0.000 9.579
O 1.805 1.805 0.000
O 1.805 1.805 4.112
O 1.805 1.805 7.155
```

Results
**Energy relative to the elements, uncorrected**: -1876 meV per atom
**Total magnetic moment**: 0.005 μB per atom
**Uncorrected energy**: -6.949 eV per atom

=====

No. 11
Here is an optimized crystal structure of PaTlGeO6 from Alexandria. Energies are from PBE.

```
18
Lattice="5.469 0.000 0.000 -2.734 4.736 0.000 0.000 0.000 9.399" Properties=species:S:1:pos:R:3 pbc="T T T"
Pa 0.000 3.158 2.350
Pa 2.734 1.579 7.050
Tl 0.000 0.000 0.000
Tl 0.000 0.000 4.700
Ge 0.000 3.158 7.050
Ge 2.734 1.579 2.350
O -0.831 1.767 5.983
O -1.619 3.133 8.116
O 0.831 1.767 8.116
O -0.788 4.572 5.983
O 1.946 0.164 1.284
O 1.115 1.603 3.416
O 1.619 3.133 5.983
O 0.788 4.572 8.116
O 3.523 0.164 3.416
O 1.904 2.969 1.284
O 4.354 1.603 1.284
O 3.565 2.969 3.416
```

Results
**Energy relative to the elements, uncorrected**: -1979 meV per atom
**Total magnetic moment**: 0.000 μB per atom
**Uncorrected energy**: -7.116 eV per atom

=====

No. 12
Here is an optimized crystal structure of PaTlGe2O8 from Alexandria. Energies are from PBE.

```
12
Lattice="5.715 0.000 0.000 -2.858 4.949 0.000 0.000 0.000 6.925" Properties=species:S:1:pos:R:3 pbc="T T T"
Pa 0.000 0.000 0.000
Tl 0.000 0.000 3.462
Ge 0.000 3.300 4.852
Ge 2.858 1.650 2.073
O 0.000 1.653 5.527
O -1.426 4.123 5.527
O 0.000 3.300 3.120
O 1.431 0.826 1.398
O 1.426 4.123 5.527
O 2.858 1.650 3.805
O 4.284 0.826 1.398
O 2.858 3.297 1.398
```

Results
**Energy relative to the elements, uncorrected**: -1746 meV per atom
**Total magnetic moment**: 0.047 μB per atom
**Uncorrected energy**: -6.809 eV per atom

=====

No. 13
Here is an optimized crystal structure of PaTl4Ge3O12 from Alexandria. Energies are from PBE.

```
20
Lattice="-4.012 4.012 4.012 4.012 -4.012 4.012 4.012 4.012 -4.012" Properties=species:S:1:pos:R:3 pbc="T T T"
Pa 0.000 0.000 0.000
Tl 2.006 2.006 -2.006
Tl 2.006 -2.006 2.006
Tl -2.006 2.006 2.006
Tl 2.006 2.006 2.006
Ge 4.012 0.000 0.000
Ge 0.000 4.012 0.000
Ge 0.000 0.000 4.012
O 2.146 0.000 0.000
O 5.878 0.000 0.000
O 4.012 2.006 0.000
O 4.012 0.000 2.006
O 0.000 2.146 0.000
O 0.000 0.000 2.146
O 2.006 4.012 0.000
O 2.006 0.000 4.012
O 0.000 5.878 0.000
O 0.000 0.000 5.878
O 0.000 4.012 2.006
O 0.000 2.006 4.012
```

Results
**Energy relative to the elements, uncorrected**: -1366 meV per atom
**Total magnetic moment**: 0.000 μB per atom
**Uncorrected energy**: -5.982 eV per atom

=====

No. 14
Here is an optimized crystal structure of PaTl2GeO6 from Alexandria. Energies are from PBE.

```
20
Lattice="2.969 1.714 10.144 -2.969 1.714 10.144 0.000 -3.429 10.144" Properties=species:S:1:pos:R:3 pbc="T T T"
Pa 0.000 0.000 2.914
Pa 0.000 0.000 27.517
Tl 0.000 0.000 6.538
Tl 0.000 0.000 10.568
Tl 0.000 0.000 19.863
Tl 0.000 0.000 23.893
Ge 0.000 0.000 0.000
Ge 0.000 0.000 15.215
O 0.000 -1.898 8.961
O -1.643 0.949 8.961
O -1.391 -0.803 16.311
O 0.000 -1.606 14.120
O -1.391 0.803 14.120
O -1.643 -0.949 21.470
O 1.643 0.949 8.961
O 1.391 -0.803 16.311
O 0.000 1.606 16.311
O 1.391 0.803 14.120
O 1.643 -0.949 21.470
O 0.000 1.898 21.470
```

Results
**Energy relative to the elements, uncorrected**: -1794 meV per atom
**Total magnetic moment**: 0.000 μB per atom
**Uncorrected energy**: -6.653 eV per atom

=====

No. 15
Here is an optimized crystal structure of TmPaGeO6 from Alexandria. Energies are from PBE.

```
18
Lattice="5.324 0.000 0.000 -2.662 4.611 0.000 0.000 0.000 9.499" Properties=species:S:1:pos:R:3 pbc="T T T"
Tm 0.000 3.074 2.375
Tm 2.662 1.537 7.124
Pa 0.000 0.000 0.000
Pa 0.000 0.000 4.750
Ge 0.000 3.074 7.124
Ge 2.662 1.537 2.375
O -0.736 1.656 6.017
O -1.596 3.145 8.231
O 0.736 1.656 8.231
O -0.860 4.420 6.017
O 1.802 0.191 1.268
O 1.066 1.466 3.482
O 1.596 3.145 6.017
O 0.860 4.420 8.231
O 3.522 0.191 3.482
O 1.926 2.954 1.268
O 4.258 1.466 1.268
O 3.398 2.954 3.482
```

Results
**Energy relative to the elements, uncorrected**: -2894 meV per atom
**Total magnetic moment**: 0.000 μB per atom
**Uncorrected energy**: -8.264 eV per atom